{
  "formula": "BaV4F12",
  "functional": "PBE with a Hubbard U",
  "state": "optimized geometry",
  "energy_ev_per_atom": -6.1544,
  "sg": "No. 12",
  "cell": [[6.711, -0.031, -2.402], [-3.342, 5.794, -2.324], [0.000, 0.059, 7.081]],
  "species": ["Ba", "V", "V", "V", "V", "F", "F", "F", "F", "F", "F", "F", "F", "F", "F", "F", "F"],
  "frac_coords": [[0.000, 0.500, 0.500], [0.500, 0.000, 0.000], [0.000, 0.500, 0.000], [0.000, 0.000, 0.500], [0.500, 0.500, 0.500], [0.234, 0.733, 0.985], [0.004, 0.743, 0.261], [0.464, 0.734, 0.730], [0.231, 0.986, 0.737], [0.769, 0.506, 0.755], [0.234, 0.249, 0.501], [0.766, 0.751, 0.499], [0.769, 0.014, 0.263], [0.231, 0.494, 0.245], [0.536, 0.266, 0.270], [0.996, 0.257, 0.739], [0.766, 0.267, 0.015]]
}